[1]
# KAg6 PBE-GGA optimized geometry
data_KAg6
_cell_length_a 6.5615
_cell_length_b 6.5615
_cell_length_c 6.5615
_cell_angle_alpha 109.47
_cell_angle_beta 109.47
_cell_angle_gamma 109.47
_space_group_name_H-M_alt 'P 1'
_space_group_IT_number 1
loop_
_space_group_symop_operation_xyz
'x,y,z'
loop_
_atom_site_label
_atom_site_type_symbol
_atom_site_fract_x
_atom_site_fract_y
_atom_site_fract_z
K1 K 0.0000 0.0000 0.0000
Ag1 Ag 0.2500 0.7500 0.5000
Ag2 Ag 0.5000 0.7500 0.2500
Ag3 Ag 0.2500 0.5000 0.7500
Ag4 Ag 0.7500 0.2500 0.5000
Ag5 Ag 0.5000 0.2500 0.7500
Ag6 Ag 0.7500 0.5000 0.2500
# Space-group type: Im-3m
# Formation energy, eV per atom: 0.38
# M_tot, μB/atom: 0.00
# Energy above the most stable polymorph in this dataset, meV/atom: 312

***

[2]
# KAg PBE-GGA optimized geometry
data_KAg
_cell_length_a 3.8586
_cell_length_b 3.8586
_cell_length_c 9.7960
_cell_angle_alpha 90.00
_cell_angle_beta 90.00
_cell_angle_gamma 90.00
_space_group_name_H-M_alt 'P 1'
_space_group_IT_number 1
loop_
_space_group_symop_operation_xyz
'x,y,z'
loop_
_atom_site_label
_atom_site_type_symbol
_atom_site_fract_x
_atom_site_fract_y
_atom_site_fract_z
Ag1 Ag 0.2500 0.2500 0.5395
Ag2 Ag 0.7500 0.7500 0.4605
K1 K 0.2500 0.2500 0.2061
K2 K 0.7500 0.7500 0.7939
# Space-group type: P4/nmm
# Formation energy, eV per atom: 0.10
# M_tot, μB/atom: 0.00
# Energy above the most stable polymorph in this dataset, meV/atom: 84